(1)
First-principles (PBE) data for CsU4Pt3Se12 after structural relaxation, as listed in Alexandria.

Properties
Total magnetization ... 7.0 μB/cell
Total DFT energy (no corrections) ... -6.027 eV per atom
Space-group type ... Im-3 (204)
N(E_F) ... 26.20 states/eV/f.u.
E_form (uncorrected) ... -0.73 eV/atom

POSCAR file:
```
CsU4Pt3Se12
1.0
-5.154 5.154 5.154
5.154 -5.154 5.154
5.154 5.154 -5.154
Cs U Pt Se
1 4 3 12
Direct
0.000 0.000 0.000
0.000 0.000 0.500
0.000 0.500 0.000
0.500 0.000 0.000
0.500 0.500 0.500
0.000 0.500 0.500
0.500 0.000 0.500
0.500 0.500 0.000
0.159 0.323 0.835
0.165 0.488 0.323
0.165 0.841 0.677
0.323 0.165 0.488
0.323 0.835 0.159
0.488 0.323 0.165
0.512 0.677 0.835
0.677 0.165 0.841
0.677 0.835 0.512
0.835 0.159 0.323
0.835 0.512 0.677
0.841 0.677 0.165
```



(2)
First-principles (PBE) data for Cs2U2PtSe6 after structural relaxation, as listed in Alexandria.

Properties
Total magnetization ... 4.0 μB/cell
Total DFT energy (no corrections) ... -5.615 eV per atom
Space-group type ... C2/m (12)
N(E_F) ... 16.29 states/eV/f.u.
E_form (uncorrected) ... -0.96 eV/atom

POSCAR file:
```
Cs2U2PtSe6
1.0
3.467 -6.071 0.000
3.467 6.071 0.000
-2.307 0.000 8.712
Cs U Pt Se
2 2 1 6
Direct
0.161 0.839 0.000
0.839 0.161 0.000
0.330 0.670 0.500
0.670 0.330 0.500
0.000 0.000 0.500
0.068 0.403 0.688
0.251 0.251 0.333
0.403 0.068 0.688
0.597 0.932 0.312
0.749 0.749 0.667
0.932 0.597 0.312
```



(3)
First-principles (PBE) data for Cs2UPt2Se4 after structural relaxation, as listed in Alexandria.

Properties
Total magnetization ... 1.0 μB/cell
Total DFT energy (no corrections) ... -5.199 eV per atom
Space-group type ... C2/m (12)
N(E_F) ... 5.42 states/eV/f.u.
E_form (uncorrected) ... -0.86 eV/atom

POSCAR file:
```
Cs2UPt2Se4
1.0
7.617 -2.048 0.000
7.617 2.048 0.000
-2.672 0.000 8.231
Cs U Pt Se
2 1 2 4
Direct
0.135 0.135 0.073
0.865 0.865 0.927
0.000 0.000 0.500
0.311 0.311 0.483
0.689 0.689 0.517
0.186 0.186 0.678
0.479 0.479 0.713
0.521 0.521 0.287
0.814 0.814 0.322
```



(4)
First-principles (PBE) data for CsSi2Pt2 after structural relaxation, as listed in Alexandria.

Properties
Total magnetization ... 0.0 μB/cell
Total DFT energy (no corrections) ... -5.203 eV per atom
Space-group type ... I4/mmm (139)
N(E_F) ... 2.10 states/eV/f.u.
E_form (uncorrected) ... -0.45 eV/atom

POSCAR file:
```
CsSi2Pt2
1.0
-2.156 2.156 6.999
2.156 -2.156 6.999
2.156 2.156 -6.999
Cs Si Pt
1 2 2
Direct
0.000 0.000 0.000
0.250 0.750 0.500
0.750 0.250 0.500
0.326 0.326 0.000
0.674 0.674 0.000
```